The following is a GGA+U calculation of MoI2O2 after structural relaxation, from Alexandria.

a b c (Å): 4.1596 4.1596 7.9044
angles (deg): 90.00 90.00 90.00
Last column: magnetic moment on the atom in μB.
Fractional positions:
O1 0.5000 0.0000 0.0000  -0.01
O2 0.0000 0.5000 0.0000  -0.01
I1 0.0000 0.0000 0.5000  -0.03
I2 0.0000 0.0000 0.0000  -0.01
Mo1 0.5000 0.5000 0.5000  4.04

Output
The energy relative to the lowest polymorph listed for this composition comes out at 655.8 meV per atom. The size of the total moment is 4.7 μB per formula unit. The density of states at the Fermi level is 0.42 states/eV per atom. The symmetry is No. 123. For the energy, the calculation gives -3.713 eV/atom.